MgZrNi2 | the Alexandria database | PBE | relaxed; ΔE_f = 0.015 eV/atom; uncorrected energy = -21.6 eV per cell; DOS at the Fermi energy = 6.4 states/eV/cell; crystal system = cubic
1.0
0.0000 3.1277 3.1277
3.1277 0.0000 3.1277
3.1277 3.1277 0.0000
Mg Zr Ni
1 1 2
Direct
0.0000 0.0000 0.0000 Mg
0.7500 0.7500 0.7500 Zr
0.2500 0.2500 0.2500 Ni
0.5000 0.5000 0.5000 Ni